Material: Ag2H6IrRh
Method: DFT, PBE
State: optimized geometry

Output
Symmetry = Immm
E_tot = -40.89 eV for the cell shown

Lattice parameters (Å, degrees): 4.981 4.982 4.990 59.94 59.94 90.05
Positions (direct):
1 Ag 0.750 0.250 0.500
2 Ag 0.250 0.750 0.500
3 H 0.252 0.252 0.496
4 H 0.748 0.748 0.000
5 H 0.252 0.748 0.000
6 H 0.748 0.252 0.000
7 H 0.252 0.252 0.000
8 H 0.748 0.748 0.504
9 Ir 0.500 0.500 0.000
10 Rh 0.000 0.000 0.000

---

Material: TaHg
Method: DFT, PBE
State: optimized geometry

Output
Symmetry = P2_13
Energy of formation = 0.665 eV per atom

Lattice parameters (Å, degrees): 5.404 5.404 5.404 90.00 90.00 90.00
Positions (direct):
1 Ta 0.097 0.097 0.097
2 Ta 0.403 0.903 0.597
3 Ta 0.903 0.597 0.403
4 Ta 0.597 0.403 0.903
5 Hg 0.404 0.404 0.404
6 Hg 0.096 0.596 0.904
7 Hg 0.596 0.904 0.096
8 Hg 0.904 0.096 0.596

---

Material: HoThMgAl
Method: DFT, PBE
State: optimized geometry

Output
Symmetry = F-43m
Energy of formation = -0.159 eV per atom

Lattice parameters (Å, degrees): 5.258 5.258 5.258 60.00 60.00 60.00
Positions (direct):
1 Mg 0.250 0.250 0.250
2 Ho 0.500 0.500 0.500
3 Th 0.000 0.000 0.000
4 Al 0.750 0.750 0.750

---

Material: Al3InBi
Method: DFT, PBE
State: optimized geometry

Output
Symmetry = Pm-3m
Energy of formation = 0.928 eV per atom

Lattice parameters (Å, degrees): 5.554 5.554 5.554 90.00 90.00 90.00
Positions (direct):
1 Al 0.000 0.500 0.000
2 Al 0.000 0.000 0.500
3 Al 0.500 0.000 0.000
4 Bi 0.000 0.000 0.000
5 In 0.500 0.500 0.500

---

We obtain magnetization values of 0.00, 0.00, 0.00, 0.00 μB per formula unit for the records listed above, in that order.